Below is a crystal of LiCr2Re relaxed with PBEsol, with properties calculated at the meta-GGA SCAN level.

The structure in CIF format:
```
data_LiCr2Re
_chemical_formula_sum 'Li1 Cr2 Re1'
_symmetry_space_group_name_H-M 'P 1'
_symmetry_Int_Tables_number 1
_cell_length_a 2.983
_cell_length_b 2.983
_cell_length_c 5.528
_cell_angle_alpha 90.00
_cell_angle_beta 90.00
_cell_angle_gamma 90.00
loop_
_symmetry_equiv_pos_as_xyz
'x,y,z'
loop_
_atom_site_label
_atom_site_type_symbol
_atom_site_fract_x
_atom_site_fract_y
_atom_site_fract_z
_atom_site_occupancy
Li1 Li 0.000 0.000 0.000 1
Cr1 Cr 0.500 0.500 0.244 1
Cr2 Cr 0.500 0.500 0.756 1
Re1 Re 0.000 0.000 0.500 1
```

space group: No. 123
electronic total energy: -109.00 eV/cell
ΔE to the lowest computed polymorph: 0.00 eV per formula unit
formation energy from the elements: 0.31 eV per atom